# 1
# Ce2S2N (PBE, relaxed)
# Formation energy without anion corrections (eV/atom): -1.833
# Electronic total energy (eV per atom): -7.523
data_Ce2S2N
_symmetry_space_group_name_H-M 'I b a m'
_symmetry_Int_Tables_number 72
_symmetry_space_group_name_Hall '-I 2 2c'
_cell_length_a 6.5495
_cell_length_b 11.1409
_cell_length_c 5.7271
_cell_angle_alpha 90.00
_cell_angle_beta 90.00
_cell_angle_gamma 90.00
loop_
_atom_site_label
_atom_site_fract_x
_atom_site_fract_y
_atom_site_fract_z
Ce1 0.2099 0.1036 0.0000
S1 0.1502 0.3549 0.0000
N1 0.0000 0.0000 0.2500

***

# 2
# IrS3F (PBE, relaxed)
# Formation energy without anion corrections (eV/atom): 1.419
# Offset from the most stable computed form (meV/atom): 889
# Electronic total energy (eV per atom): -3.204
data_IrS3F
_symmetry_space_group_name_H-M 'P m -3 m'
_symmetry_Int_Tables_number 221
_symmetry_space_group_name_Hall '-P 4 2 3'
_cell_length_a 4.2607
_cell_length_b 4.2607
_cell_length_c 4.2607
_cell_angle_alpha 90.00
_cell_angle_beta 90.00
_cell_angle_gamma 90.00
loop_
_atom_site_label
_atom_site_fract_x
_atom_site_fract_y
_atom_site_fract_z
Ir1 0.0000 0.0000 0.0000
S1 0.0000 0.5000 0.5000
F1 0.5000 0.5000 0.5000

***

| no. | DOS at the Fermi energy (states/eV/cell) | volume (Å³ per cell) |
| --- | --- | --- |
| 1 | 32.0 | 417.9 |
| 2 | 5.2 | 77.3 |